Record 1
Density functional theory data (meta-GGA SCAN) for a PBEsol-optimized structure of AlZn3. Values from VASP.

Results
N(E_F): 1.244 states/eV/cell
Electronic total energy: -12.033 eV/atom
Space group: Imm2
Calculated formation energy: 42 meV per atom

The structure in Quantum ESPRESSO input format:
```
&SYSTEM
  ibrav = 0, nat = 4, ntyp = 2
/
ATOMIC_SPECIES
Al 26.98 Al.upf
Zn 65.41 Zn.upf
ATOMIC_POSITIONS crystal
Al 0.000 0.997 0.000
Zn 0.751 0.088 0.503
Zn 0.249 0.585 0.497
Zn 0.500 0.497 0.000
CELL_PARAMETERS angstrom
2.688 0.000 0.000
0.000 4.695 0.000
-1.344 -2.347 4.699
```

=====

Record 2
Density functional theory data (meta-GGA SCAN) for a PBEsol-optimized structure of Ba3Ho2Cu2PtO10. Values from VASP.

Results
Electronic total energy: -23.528 eV/atom
Space group: C2/m
Formation energy from raw total energies: -2443 meV/atom

The structure in Quantum ESPRESSO input format:
```
&SYSTEM
  ibrav = 0, nat = 18, ntyp = 5
/
ATOMIC_SPECIES
Cu 63.55 Cu.upf
O 16.00 O.upf
Ba 137.33 Ba.upf
Ho 164.93 Ho.upf
Pt 195.08 Pt.upf
ATOMIC_POSITIONS crystal
Cu 0.411 0.822 0.802
Cu 0.589 0.178 0.198
O 0.702 0.963 0.280
O 0.739 0.037 0.720
O 0.087 0.631 0.873
O 0.455 0.369 0.127
O 0.545 0.631 0.873
O 0.298 0.037 0.720
O 0.261 0.963 0.280
O 0.667 0.334 0.550
O 0.913 0.369 0.127
O 0.333 0.666 0.450
Ba 0.153 0.306 0.542
Ba 0.847 0.694 0.458
Ba 0.000 0.000 0.000
Ho 0.688 0.377 0.874
Ho 0.312 0.623 0.126
Pt 0.500 0.000 0.500
CELL_PARAMETERS angstrom
5.772 0.000 0.000
-2.886 6.202 -0.011
0.000 -1.997 7.078
```

=====

Record 3
Density functional theory data (meta-GGA SCAN) for a PBEsol-optimized structure of Fe2NiIr. Values from VASP.

Results
N(E_F): 3.660 states/eV/cell
Electronic total energy: -31.025 eV/atom
Space group: P4/mmm
Calculated formation energy: -142 meV per atom

The structure in Quantum ESPRESSO input format:
```
&SYSTEM
  ibrav = 0, nat = 4, ntyp = 3
/
ATOMIC_SPECIES
Fe 55.84 Fe.upf
Ir 192.22 Ir.upf
Ni 58.69 Ni.upf
ATOMIC_POSITIONS crystal
Fe 0.000 0.500 0.000
Fe 0.000 0.000 0.500
Ir 0.500 0.500 0.500
Ni 0.500 0.000 0.000
CELL_PARAMETERS angstrom
3.611 0.000 0.000
0.000 3.588 0.000
0.000 0.000 3.588
```